Record 1
Computed, not measured: Ac5Pm2PrSm after structural relaxation at the PBE level of DFT.

```
Ac5Pm2PrSm
1.0
-4.2487 4.2487 10.3598
4.2487 -4.2487 10.3598
4.2487 4.2487 -10.3598
Ac Pm Pr Sm
10 4 2 2
Direct
0.0000 0.0000 0.0000
0.0803 0.5803 0.9291
0.1512 0.0803 0.5000
0.3488 0.8488 0.9291
0.4197 0.3488 0.5000
0.5000 0.5000 0.0000
0.5803 0.6512 0.5000
0.6512 0.1512 0.0709
0.8488 0.9197 0.5000
0.9197 0.4197 0.0709
0.1215 0.3785 0.5000
0.3785 0.8785 0.2569
0.6215 0.1215 0.7431
0.8785 0.6215 0.5000
0.2500 0.7500 0.5000
0.7500 0.2500 0.5000
0.2500 0.2500 0.0000
0.7500 0.7500 0.0000
```

Calculated values
total DFT energy (no corrections): -4.121 eV/atom
energy of formation: 0.273 eV/atom
crystal system: tetragonal
symmetry: No. 140


Record 2
Computed, not measured: Ac5PmPrSm2 after structural relaxation at the PBE level of DFT.

```
Ac5PmPrSm2
1.0
2.9947 -10.9853 0.0000
2.9947 10.9853 0.0000
0.0000 0.0000 11.2604
Ac Pm Pr Sm
10 2 2 4
Direct
0.0100 0.9900 0.5000
0.2758 0.7242 0.8100
0.2979 0.7021 0.1920
0.3746 0.6254 0.5081
0.4869 0.5131 0.2350
0.5131 0.4869 0.7350
0.6254 0.3746 0.0081
0.7021 0.2979 0.6920
0.7242 0.2758 0.3100
0.9900 0.0100 0.0000
0.1914 0.8086 0.5021
0.8086 0.1914 0.0021
0.4060 0.5940 0.9528
0.5940 0.4060 0.4528
0.1135 0.8865 0.7873
0.1159 0.8841 0.2328
0.8841 0.1159 0.7328
0.8865 0.1135 0.2873
```

Calculated values
total DFT energy (no corrections): -4.244 eV/atom
energy of formation: 0.146 eV/atom
crystal system: orthorhombic
symmetry: No. 36


Record 3
Computed, not measured: AcPm4Pr2Sm after structural relaxation at the PBE level of DFT.

```
AcPm4Pr2Sm
1.0
7.0114 -6.7952 0.0000
7.0114 6.7952 0.0000
-3.5474 0.0000 6.1338
Ac Pm Pr Sm
2 8 4 2
Direct
0.0000 0.5000 0.0000
0.5000 0.0000 0.5000
0.2395 0.2545 0.4423
0.2467 0.7519 0.5128
0.2481 0.7533 0.9872
0.2545 0.2395 0.9423
0.7455 0.7605 0.0577
0.7519 0.2467 0.0128
0.7533 0.2481 0.4872
0.7605 0.7455 0.5577
0.0000 0.5000 0.5000
0.5000 0.0000 0.0000
0.5000 0.5000 0.0000
0.5000 0.5000 0.5000
0.0000 0.0000 0.0000
0.0000 0.0000 0.5000
```

Calculated values
total DFT energy (no corrections): -4.298 eV/atom
energy of formation: 0.376 eV/atom
crystal system: monoclinic
symmetry: No. 15


Record 4
Computed, not measured: Ac2PmPr4Sm2 after structural relaxation at the PBE level of DFT.

```
Ac2PmPr4Sm2
1.0
8.9305 -1.8682 0.0000
8.9305 1.8682 0.0000
-1.6377 0.0000 10.1074
Ac Pm Pr Sm
2 1 4 2
Direct
0.1627 0.1627 0.0811
0.8373 0.8373 0.9189
0.0000 0.0000 0.5000
0.1699 0.1699 0.7234
0.4889 0.4889 0.1790
0.5111 0.5111 0.8210
0.8301 0.8301 0.2766
0.3351 0.3351 0.5803
0.6649 0.6649 0.4197
```

Calculated values
total DFT energy (no corrections): -4.589 eV/atom
energy of formation: 0.025 eV/atom
crystal system: monoclinic
symmetry: No. 12


Record 5
Computed, not measured: AcPmPrSm3 after structural relaxation at the PBE level of DFT.

```
AcPmPrSm3
1.0
10.3560 -2.9280 0.0000
10.3560 2.9280 0.0000
-0.0799 0.0000 7.2157
Ac Pm Pr Sm
2 2 2 6
Direct
0.1473 0.1473 0.0398
0.8527 0.8527 0.9602
0.4457 0.4457 0.7255
0.5543 0.5543 0.2745
0.1442 0.1442 0.4872
0.8558 0.8558 0.5128
0.0192 0.0192 0.7453
0.2810 0.2810 0.7333
0.3388 0.3388 0.2520
0.6612 0.6612 0.7480
0.7190 0.7190 0.2667
0.9808 0.9808 0.2547
```

Calculated values
total DFT energy (no corrections): -4.429 eV/atom
energy of formation: 0.204 eV/atom
crystal system: monoclinic
symmetry: No. 12


Record 6
Computed, not measured: Ac2Pm4PrSm2 after structural relaxation at the PBE level of DFT.

```
Ac2Pm4PrSm2
1.0
8.8939 -1.8586 0.0000
8.8939 1.8586 0.0000
-1.6512 0.0000 10.0234
Ac Pm Pr Sm
2 4 1 2
Direct
0.1616 0.1616 0.0798
0.8384 0.8384 0.9202
0.1703 0.1703 0.7239
0.4873 0.4873 0.1782
0.5127 0.5127 0.8218
0.8297 0.8297 0.2761
0.0000 0.0000 0.5000
0.3350 0.3350 0.5801
0.6650 0.6650 0.4199
```

Calculated values
total DFT energy (no corrections): -4.578 eV/atom
energy of formation: 0.026 eV/atom
crystal system: monoclinic
symmetry: No. 12


Record 7
Computed, not measured: AcPm2Pr2Sm after structural relaxation at the PBE level of DFT.

```
AcPm2Pr2Sm
1.0
7.3216 0.0000 0.0000
0.0000 5.8756 0.0000
0.0000 0.0000 10.1347
Ac Pm Pr Sm
2 4 4 2
Direct
0.0000 0.0000 0.0000
0.5000 0.0000 0.0000
0.2500 0.0000 0.3355
0.2500 0.5000 0.8297
0.7500 0.0000 0.6645
0.7500 0.5000 0.1703
0.0000 0.5000 0.5000
0.2500 0.0000 0.6650
0.5000 0.5000 0.5000
0.7500 0.0000 0.3350
0.2500 0.5000 0.1685
0.7500 0.5000 0.8315
```

Calculated values
total DFT energy (no corrections): -4.596 eV/atom
energy of formation: 0.052 eV/atom
crystal system: orthorhombic
symmetry: No. 51


Record 8
Computed, not measured: AcPmPr2Sm after structural relaxation at the PBE level of DFT.

```
AcPmPr2Sm
1.0
4.2302 -6.1970 0.0000
4.2302 6.1970 0.0000
0.0000 0.0000 7.4466
Ac Pm Pr Sm
2 2 4 2
Direct
0.2404 0.7596 0.7500
0.7596 0.2404 0.2500
0.0562 0.9438 0.2500
0.9438 0.0562 0.7500
0.3038 0.3038 0.0000
0.3038 0.3038 0.5000
0.6962 0.6962 0.0000
0.6962 0.6962 0.5000
0.3033 0.6967 0.2500
0.6967 0.3033 0.7500
```

Calculated values
total DFT energy (no corrections): -4.306 eV/atom
energy of formation: 0.322 eV/atom
crystal system: orthorhombic
symmetry: No. 63


Record 9
Computed, not measured: AcPm5Pr2Sm after structural relaxation at the PBE level of DFT.

```
AcPm5Pr2Sm
1.0
-4.4851 4.4851 8.1030
4.4851 -4.4851 8.1030
4.4851 4.4851 -8.1030
Ac Pm Pr Sm
2 10 4 2
Direct
0.2500 0.7500 0.5000
0.7500 0.2500 0.5000
0.0000 0.0000 0.0000
0.0767 0.5767 0.9240
0.1527 0.0767 0.5000
0.3473 0.8473 0.9240
0.4233 0.3473 0.5000
0.5000 0.5000 0.0000
0.5767 0.6527 0.5000
0.6527 0.1527 0.0760
0.8473 0.9233 0.5000
0.9233 0.4233 0.0760
0.1171 0.3829 0.5000
0.3829 0.8829 0.2659
0.6171 0.1171 0.7341
0.8829 0.6171 0.5000
0.2500 0.2500 0.0000
0.7500 0.7500 0.0000
```

Calculated values
total DFT energy (no corrections): -4.422 eV/atom
energy of formation: 0.260 eV/atom
crystal system: tetragonal
symmetry: No. 140


Record 10
Computed, not measured: AcTb4PmPr2 after structural relaxation at the PBE level of DFT.

```
AcTb4PmPr2
1.0
6.9630 -6.7684 0.0000
6.9630 6.7684 0.0000
-3.4927 0.0000 6.0389
Ac Tb Pm Pr
2 8 2 4
Direct
0.0000 0.5000 0.0000
0.5000 0.0000 0.5000
0.2399 0.2550 0.4987
0.2476 0.7523 0.5131
0.2477 0.7524 0.9869
0.2550 0.2399 0.9987
0.7450 0.7601 0.0013
0.7523 0.2476 0.0131
0.7524 0.2477 0.4869
0.7601 0.7450 0.5013
0.0000 0.0000 0.0000
0.0000 0.0000 0.5000
0.0000 0.5000 0.5000
0.5000 0.0000 0.0000
0.5000 0.5000 0.0000
0.5000 0.5000 0.5000
```

Calculated values
total DFT energy (no corrections): -4.212 eV/atom
energy of formation: 0.405 eV/atom
crystal system: monoclinic
symmetry: No. 15


Record 11
Computed, not measured: AcTbPm2Pr after structural relaxation at the PBE level of DFT.

```
AcTbPm2Pr
1.0
4.1821 -6.1604 0.0000
4.1821 6.1604 0.0000
0.0000 0.0000 7.4000
Ac Tb Pm Pr
2 2 4 2
Direct
0.2424 0.7576 0.7500
0.7576 0.2424 0.2500
0.3076 0.6924 0.2500
0.6924 0.3076 0.7500
0.3049 0.3049 0.0000
0.3049 0.3049 0.5000
0.6951 0.6951 0.0000
0.6951 0.6951 0.5000
0.0603 0.9397 0.2500
0.9397 0.0603 0.7500
```

Calculated values
total DFT energy (no corrections): -4.270 eV/atom
energy of formation: 0.334 eV/atom
crystal system: orthorhombic
symmetry: No. 63


Record 12
Computed, not measured: AcTbPmPr after structural relaxation at the PBE level of DFT.

```
AcTbPmPr
1.0
-2.6372 2.6372 5.2924
2.6372 -2.6372 5.2924
2.6372 2.6372 -5.2924
Ac Tb Pm Pr
1 1 1 1
Direct
0.0000 0.0000 0.0000
0.5000 0.5000 0.0000
0.2500 0.7500 0.5000
0.7500 0.2500 0.5000
```

Calculated values
total DFT energy (no corrections): -4.524 eV/atom
energy of formation: 0.043 eV/atom
crystal system: tetragonal
symmetry: No. 119
relative energy among the computed polymorphs: 0 meV per atom


Record 13
Computed, not measured: AcTb5PmPr2 after structural relaxation at the PBE level of DFT.

```
AcTb5PmPr2
1.0
-4.4347 4.4347 7.9494
4.4347 -4.4347 7.9494
4.4347 4.4347 -7.9494
Ac Tb Pm Pr
2 10 2 4
Direct
0.2500 0.2500 0.0000
0.7500 0.7500 0.0000
0.0000 0.0000 0.0000
0.0725 0.5725 0.9128
0.1597 0.0725 0.5000
0.3403 0.8403 0.9128
0.4275 0.3403 0.5000
0.5000 0.5000 0.0000
0.5725 0.6597 0.5000
0.6597 0.1597 0.0872
0.8403 0.9275 0.5000
0.9275 0.4275 0.0872
0.2500 0.7500 0.5000
0.7500 0.2500 0.5000
0.1183 0.3817 0.5000
0.3817 0.8817 0.2634
0.6183 0.1183 0.7366
0.8817 0.6183 0.5000
```

Calculated values
total DFT energy (no corrections): -4.377 eV/atom
energy of formation: 0.242 eV/atom
crystal system: tetragonal
symmetry: No. 140


Record 14
Computed, not measured: AcTbPm2Pr5 after structural relaxation at the PBE level of DFT.

```
AcTbPm2Pr5
1.0
-4.5576 4.5576 7.9474
4.5576 -4.5576 7.9474
4.5576 4.5576 -7.9474
Ac Tb Pm Pr
2 2 4 10
Direct
0.2500 0.2500 0.0000
0.7500 0.7500 0.0000
0.2500 0.7500 0.5000
0.7500 0.2500 0.5000
0.1158 0.6158 0.7316
0.3842 0.1158 0.5000
0.6158 0.8842 0.5000
0.8842 0.3842 0.2684
0.0000 0.0000 0.0000
0.0701 0.1636 0.5000
0.1636 0.6636 0.0934
0.3364 0.4299 0.5000
0.4299 0.9299 0.0934
0.5000 0.5000 0.0000
0.5701 0.0701 0.9066
0.6636 0.5701 0.5000
0.8364 0.3364 0.9066
0.9299 0.8364 0.5000
```

Calculated values
total DFT energy (no corrections): -4.429 eV/atom
energy of formation: 0.253 eV/atom
crystal system: tetragonal
symmetry: No. 140


Record 15
Computed, not measured: AcTbPmPr after structural relaxation at the PBE level of DFT.

```
AcTbPmPr
1.0
0.0000 4.1902 4.1902
4.1902 0.0000 4.1902
4.1902 4.1902 0.0000
Ac Tb Pm Pr
1 1 1 1
Direct
0.0000 0.0000 0.0000
0.7500 0.7500 0.7500
0.2500 0.2500 0.2500
0.5000 0.5000 0.5000
```

Calculated values
total DFT energy (no corrections): -4.443 eV/atom
energy of formation: 0.124 eV/atom
crystal system: cubic
symmetry: No. 216
relative energy among the computed polymorphs: 81 meV per atom


Record 16
Computed, not measured: AcTb3Pm6Pr2 after structural relaxation at the PBE level of DFT.

```
AcTb3Pm6Pr2
1.0
3.1800 -5.5089 0.0000
3.1800 5.5089 0.0000
-2.1281 0.0000 11.9679
Ac Tb Pm Pr
1 3 6 2
Direct
0.0000 0.0000 0.0000
0.1670 0.8330 0.5000
0.5000 0.5000 0.5000
0.8330 0.1670 0.5000
0.0860 0.4212 0.2565
0.2491 0.2491 0.7432
0.4212 0.0860 0.2565
0.5788 0.9140 0.7435
0.7509 0.7509 0.2568
0.9140 0.5788 0.7435
0.3334 0.6666 0.0000
0.6666 0.3334 0.0000
```

Calculated values
total DFT energy (no corrections): -4.646 eV/atom
energy of formation: 0.025 eV/atom
crystal system: monoclinic
symmetry: No. 12


Record 17
Computed, not measured: Ac2TbPm4Pr2 after structural relaxation at the PBE level of DFT.

```
Ac2TbPm4Pr2
1.0
9.7262 -1.8875 0.0000
9.7262 1.8875 0.0000
-4.3697 0.0000 9.0417
Ac Tb Pm Pr
2 1 4 2
Direct
0.1454 0.1454 0.1637
0.8546 0.8546 0.8363
0.0000 0.0000 0.5000
0.1838 0.1838 0.8313
0.4816 0.4816 0.1806
0.5184 0.5184 0.8194
0.8162 0.8162 0.1687
0.3357 0.3357 0.4962
0.6643 0.6643 0.5038
```

Calculated values
total DFT energy (no corrections): -4.572 eV/atom
energy of formation: 0.029 eV/atom
crystal system: monoclinic
symmetry: No. 12


Record 18
Computed, not measured: AcTb2PmPr after structural relaxation at the PBE level of DFT.

```
AcTb2PmPr
1.0
3.2621 -8.7606 0.0000
3.2621 8.7606 0.0000
0.0000 0.0000 6.6206
Ac Tb Pm Pr
2 4 2 2
Direct
0.1572 0.8428 0.7500
0.8428 0.1572 0.2500
0.2473 0.2473 0.0000
0.2473 0.2473 0.5000
0.7527 0.7527 0.0000
0.7527 0.7527 0.5000
0.2211 0.7789 0.2500
0.7789 0.2211 0.7500
0.3474 0.6526 0.7500
0.6526 0.3474 0.2500
```

Calculated values
total DFT energy (no corrections): -4.229 eV/atom
energy of formation: 0.351 eV/atom
crystal system: orthorhombic
symmetry: No. 63


Record 19
Computed, not measured: AcTb2PmPr5 after structural relaxation at the PBE level of DFT.

```
AcTb2PmPr5
1.0
2.8324 -12.2931 0.0000
2.8324 12.2931 0.0000
0.0000 0.0000 9.6047
Ac Tb Pm Pr
2 4 2 10
Direct
0.1025 0.8975 0.5000
0.8975 0.1025 0.0000
0.3281 0.6719 0.2523
0.3880 0.6120 0.6405
0.6120 0.3880 0.1405
0.6719 0.3281 0.7523
0.2642 0.7358 0.8921
0.7358 0.2642 0.3921
0.0243 0.9757 0.1739
0.1048 0.8952 0.8940
0.1893 0.8107 0.2015
0.2409 0.7591 0.5677
0.4924 0.5076 0.3948
0.5076 0.4924 0.8948
0.7591 0.2409 0.0677
0.8107 0.1893 0.7015
0.8952 0.1048 0.3940
0.9757 0.0243 0.6739
```

Calculated values
total DFT energy (no corrections): -4.529 eV/atom
energy of formation: 0.139 eV/atom
crystal system: orthorhombic
symmetry: No. 36


Record 20
Computed, not measured: AcTbPm2Pr2 after structural relaxation at the PBE level of DFT.

```
AcTbPm2Pr2
1.0
7.3070 0.0000 0.0000
0.0000 5.8561 0.0000
0.0000 0.0000 10.1087
Ac Tb Pm Pr
2 2 4 4
Direct
0.0000 0.0000 0.0000
0.5000 0.0000 0.0000
0.2500 0.5000 0.1675
0.7500 0.5000 0.8325
0.2500 0.0000 0.3357
0.2500 0.5000 0.8288
0.7500 0.0000 0.6643
0.7500 0.5000 0.1712
0.0000 0.5000 0.5000
0.2500 0.0000 0.6654
0.5000 0.5000 0.5000
0.7500 0.0000 0.3346
```

Calculated values
total DFT energy (no corrections): -4.577 eV/atom
energy of formation: 0.056 eV/atom
crystal system: orthorhombic
symmetry: No. 51


Number 1: Fermi-level density of states 1.594 states/eV per atom. Number 2: Fermi-level density of states 1.638 states/eV per atom. Number 3: Fermi-level density of states 2.205 states/eV per atom. Number 4: Fermi-level density of states 1.346 states/eV per atom. Number 5: Fermi-level density of states 1.392 states/eV per atom. Number 6: Fermi-level density of states 1.348 states/eV per atom. Number 7: Fermi-level density of states 1.473 states/eV per atom. Number 8: Fermi-level density of states 1.303 states/eV per atom. Number 9: Fermi-level density of states 1.427 states/eV per atom. Number 10: Fermi-level density of states 2.337 states/eV per atom. Number 11: Fermi-level density of states 1.346 states/eV per atom. Number 12: Fermi-level density of states 1.779 states/eV per atom. Number 13: Fermi-level density of states 1.064 states/eV per atom. Number 14: Fermi-level density of states 1.437 states/eV per atom. Number 15: Fermi-level density of states 2.041 states/eV per atom. Number 16: Fermi-level density of states 1.512 states/eV per atom. Number 17: Fermi-level density of states 1.320 states/eV per atom. Number 18: Fermi-level density of states 1.571 states/eV per atom. Number 19: Fermi-level density of states 1.247 states/eV per atom. Number 20: Fermi-level density of states 1.468 states/eV per atom.